Record 1
## Mg4Al2IrPt (PBE)

Data for a relaxed Mg4Al2IrPt crystal.

Geometry as POSCAR:
```
Mg4Al2IrPt
1.0
4.365 0.000 0.000
-2.183 3.780 0.000
0.000 0.000 8.648
Mg Al Ir Pt
4 2 1 1
direct
0.000 0.000 0.168
0.000 0.000 0.832
0.667 0.333 0.327
0.667 0.333 0.673
0.333 0.667 0.000
0.333 0.667 0.500
0.667 0.333 0.000
0.000 0.000 0.500
```

Results
Space-group type ... P-6m2, No. 187
DFT total energy ... -4.192 eV per atom

Record 2
## PuHfCBr2 (PBE)

Data for a relaxed PuHfCBr2 crystal.

Geometry as POSCAR:
```
PuHfCBr2
1.0
3.542 0.000 0.000
-1.771 3.067 0.000
0.000 0.000 10.627
Pu Hf C Br
1 1 1 2
direct
0.000 0.000 0.000
0.333 0.667 0.758
0.667 0.333 0.857
0.000 0.000 0.578
0.333 0.667 0.197
```

Results
Space-group type ... P3m1, No. 156
DFT total energy ... -8.408 eV per atom

Record 3
## GeAsPdO (PBE)

Data for a relaxed GeAsPdO crystal.

Geometry as POSCAR:
```
GeAsPdO
1.0
3.847 0.000 0.000
0.000 3.847 0.000
0.000 0.000 9.312
Ge As Pd O
2 2 2 2
direct
0.250 0.250 0.104
0.750 0.750 0.896
0.250 0.250 0.669
0.750 0.750 0.331
0.250 0.750 0.500
0.750 0.250 0.500
0.250 0.750 0.000
0.750 0.250 0.000
```

Results
Space-group type ... P4/nmm, No. 129
DFT total energy ... -5.359 eV per atom

Record 4
## Er2TmPdPt2Pb3 (PBE)

Data for a relaxed Er2TmPdPt2Pb3 crystal.

Geometry as POSCAR:
```
Er2TmPdPt2Pb3
1.0
3.898 0.000 0.000
0.000 6.707 3.876
0.000 -6.707 3.876
Er Tm Pd Pt Pb
2 1 1 2 3
direct
0.000 0.203 0.797
0.000 0.797 0.203
0.000 0.610 0.610
0.000 0.204 0.204
0.500 0.537 0.869
0.500 0.869 0.537
0.500 0.203 0.466
0.500 0.466 0.203
0.500 0.940 0.940
```

Results
Space-group type ... Amm2, No. 38
DFT total energy ... -5.473 eV per atom

> Among the records above, which one has the lowest DFT total energy?

PuHfCBr2